This record from Alexandria via LeMat-Bulk describes an optimized crystal structure of Ag2SbCl4. The functional is PBE.

Calculated values
Final energy in eV/atom: -2.842
E_form (uncorrected) in eV per atom: -0.3831
Spin magnetization in μB per formula unit: 1.00
Mass density in g/cm³: 4.35
Symmetry: I-42m

a = 6.217 Å, b = 6.217 Å, c = 6.217 Å
α = 112.98°, β = 112.98°, γ = 102.67°
Positions (direct):
Ag: 0.250 0.750 0.500
Ag: 0.750 0.250 0.500
Sb: 0.000 0.000 0.000
Cl: 0.167 0.635 0.000
Cl: 0.365 0.365 0.531
Cl: 0.635 0.167 0.000
Cl: 0.833 0.833 0.469